[1]
VASP calculation (PBE) on a relaxed La2Mg crystal.

Computed properties:
Total magnetic moment   0.4 μB/f.u.
Excess energy over the best structure of this formula in the dataset   0.009 eV per atom
Space-group type   I4/mmm, No. 139
Calculated volume   100 Å³/cell

Lattice parameters (Å, degrees): 7.0079 7.0079 7.0079 147.29 147.29 46.94
Closest atoms and distances in Å follow each position.
Fractional coordinates of all 3 atoms:
La1 0.3457 0.3457 0.0000  4 Mg 3.42, 4 La 3.72
Mg1 0.0000 0.0000 0.0000  8 La 3.42
La2 0.6543 0.6543 0.0000  4 Mg 3.42, 4 La 3.72

[2]
VASP calculation (PBE) on a relaxed LaMg12 crystal.

Computed properties:
Total magnetic moment   0.0 μB/f.u.
Energy   -1.9071 eV per atom
Space-group type   I4/mmm, No. 139
Calculated volume   318 Å³/cell

Lattice parameters (Å, degrees): 7.8610 7.8610 7.8610 98.44 98.44 134.96
Closest atoms and distances in Å follow each position.
Fractional coordinates of all 13 atoms:
Mg1 0.0000 0.5000 0.0000  10 Mg 3.00-3.15
Mg2 0.2858 0.5000 0.7858  10 Mg 3.00-3.32
Mg3 0.5000 0.0000 0.0000  10 Mg 3.00-3.15
Mg4 0.5000 0.2858 0.7858  10 Mg 3.00-3.32
Mg5 0.6490 0.0000 0.6490  9 Mg 3.06-3.32
Mg6 0.7142 0.5000 0.2142  10 Mg 3.00-3.32
Mg7 0.0000 0.6490 0.6490  9 Mg 3.06-3.32
Mg8 0.5000 0.5000 0.5000  10 Mg 3.00-3.15
Mg9 0.0000 0.3510 0.3510  9 Mg 3.06-3.32
Mg10 0.0000 0.0000 0.5000  10 Mg 3.00-3.15
Mg11 0.5000 0.7142 0.2142  10 Mg 3.00-3.32
La1 0.0000 0.0000 0.0000  20 Mg 3.60-3.93
Mg12 0.3510 0.0000 0.3510  9 Mg 3.06-3.32

[3]
VASP calculation (PBE) on a relaxed LaMg crystal.

Computed properties:
Total magnetic moment   0.0 μB/f.u.
Excess energy over the best structure of this formula in the dataset   0.299 eV per atom
Space-group type   P6_3mc, No. 186
Calculated volume   124 Å³/cell

Lattice parameters (Å, degrees): 3.3496 3.3496 12.7681 90.00 90.00 120.00
Closest atoms and distances in Å follow each position.
Fractional coordinates of all 4 atoms:
La1 0.6667 0.3333 0.5510  6 La 3.35, 4 Mg 3.44-3.53
Mg1 0.3333 0.6667 0.3200  6 Mg 3.35, 4 La 3.44-3.53
La2 0.3333 0.6667 0.0510  6 La 3.35, 4 Mg 3.44-3.53
Mg2 0.6667 0.3333 0.8200  6 Mg 3.35, 4 La 3.44-3.53